1.
First-principles (GGA-PBE) data for a relaxed structure of Y3GaAg3S8, as listed in the Alexandria database.

a = 7.640 Å, b = 7.640 Å, c = 7.690 Å
α = 118.03°, β = 118.03°, γ = 62.27°
Element x y z (fractional)
Y: 0.000 0.000 0.000
Y: 0.000 0.500 0.500
Y: 0.500 0.000 0.500
Ga: 0.500 0.500 0.000
Ag: 0.000 0.500 0.000
Ag: 0.500 0.000 0.000
Ag: 0.500 0.500 0.500
S: 0.246 0.246 0.257
S: 0.270 0.726 0.227
S: 0.271 0.271 0.772
S: 0.274 0.730 0.773
S: 0.726 0.270 0.227
S: 0.729 0.729 0.228
S: 0.730 0.274 0.773
S: 0.754 0.754 0.743

Calculated values
Formation energy without anion corrections in eV/atom: -1.06

2.
First-principles (GGA-PBE) data for a relaxed structure of Zn3GaAgS5, as listed in the Alexandria database.

a = 6.399 Å, b = 6.733 Å, c = 10.292 Å
α = 109.03°, β = 90.00°, γ = 90.02°
Element x y z (fractional)
Zn: 0.000 0.000 0.000
Zn: 0.001 0.378 0.792
Zn: 0.003 0.189 0.395
Zn: 0.493 0.116 0.596
Zn: 0.498 0.517 0.391
Zn: 0.510 0.936 0.201
Ga: 0.001 0.783 0.598
Ga: 0.500 0.319 0.996
Ag: 0.006 0.594 0.198
Ag: 0.507 0.725 0.797
S: 0.361 0.785 0.581
S: 0.369 0.010 0.010
S: 0.370 0.368 0.799
S: 0.373 0.192 0.401
S: 0.403 0.591 0.190
S: 0.861 0.314 0.983
S: 0.868 0.523 0.413
S: 0.871 0.108 0.593
S: 0.872 0.948 0.197
S: 0.904 0.720 0.797

Calculated values
Formation energy without anion corrections in eV/atom: -0.68

3.
First-principles (GGA-PBE) data for a relaxed structure of Ga3AgSb, as listed in the Alexandria database.

a = 5.008 Å, b = 5.008 Å, c = 5.008 Å
α = 90.00°, β = 90.00°, γ = 90.00°
Element x y z (fractional)
Ga: 0.000 0.000 0.500
Ga: 0.000 0.500 0.000
Ga: 0.500 0.000 0.000
Ag: 0.000 0.000 0.000
Sb: 0.500 0.500 0.500

Calculated values
Formation energy without anion corrections in eV/atom: 0.30
Excess energy over the best structure of this formula in the dataset in meV per atom: 0

4.
First-principles (GGA-PBE) data for a relaxed structure of GaAgSb, as listed in the Alexandria database.

a = 4.930 Å, b = 4.930 Å, c = 3.260 Å
α = 90.00°, β = 90.00°, γ = 120.00°
Element x y z (fractional)
Ga: 0.000 0.000 0.000
Ag: 0.333 0.667 0.692
Sb: 0.667 0.333 0.583

Calculated values
Formation energy without anion corrections in eV/atom: 0.10
Excess energy over the best structure of this formula in the dataset in meV per atom: 25

- Which of these has the lowest formation energy without anion corrections?
  Y3GaAg3S8